Material: CsCd2Cu
Method: DFT, PBE
State: optimized geometry

Cell lengths 6.2102, 6.2102, 9.3929 Å; angles 70.70, 70.70, 90.00 degrees
Closest atoms and distances in Å follow each position.
Sites, in units of the cell vectors:
Cs 0.7500 0.2500 0.5000  8 Cd 4.04-4.05, 4 Cu 4.39
Cd 0.3755 0.6250 0.2500  2 Cu 2.59
Cs 0.0000 0.0000 0.0000  8 Cd 4.04-4.05, 4 Cu 4.39
Cu 0.5000 0.5000 0.0000  4 Cd 2.59
Cd 0.3750 0.6255 0.7500  2 Cu 2.59
Cd 0.8750 0.6245 0.7500  2 Cu 2.59
Cu 0.2500 0.7500 0.5000  4 Cd 2.59
Cd 0.3745 0.1250 0.2500  2 Cu 2.59

Properties
For the total moment, the calculation gives 0.00 μB/f.u. The electronic total energy comes out at -12.392 eV/cell. The calculated volume is 320.2 Å³ per cell. As for the formation energy from the elements: 0.15 eV per atom. The energy above the most stable polymorph in this dataset is 98 meV/atom.

Material: Cs2Cd2Cu
Method: DFT, PBE
State: optimized geometry

Cell lengths 7.4685, 7.4685, 6.6662 Å; angles 55.93, 55.93, 90.00 degrees
Closest atoms and distances in Å follow each position.
Sites, in units of the cell vectors:
Cd 0.3221 0.3221 0.3559  1 Cu 2.62, 1 Cd 2.90
Cu 0.0000 0.0000 0.0000  2 Cd 2.62
Cs 0.2500 0.7500 0.5000  4 Cd 3.78, 2 Cs 4.07
Cd 0.6779 0.6779 0.6441  1 Cu 2.62, 1 Cd 2.90
Cs 0.7500 0.2500 0.5000  4 Cd 3.78, 2 Cs 4.07

Properties
For the total moment, the calculation gives 0.00 μB/f.u. The electronic total energy comes out at -6.614 eV/cell. The calculated volume is 226.9 Å³ per cell. As for the formation energy from the elements: 0.20 eV per atom. The energy above the most stable polymorph in this dataset is 0 meV/atom.